# ZrNbSnC (PBE, optimized geometry)
# - energy above the most stable polymorph in this dataset (eV per atom) = 0.000
data_ZrNbSnC
_chemical_formula_sum 'Zr2 Nb2 Sn2 C2'
_cell_length_a 3.3246
_cell_length_b 3.3246
_cell_length_c 14.2959
_cell_angle_alpha 90.00
_cell_angle_beta 90.00
_cell_angle_gamma 120.00
_space_group_name_H-M_alt 'P -3 m 1'
_space_group_IT_number 164
_space_group_name_Hall '-P 3 2"'
loop_
_atom_site_label
_atom_site_fract_x
_atom_site_fract_y
_atom_site_fract_z
Zr1 0.3333 0.6667 0.0893
Nb1 0.3333 0.6667 0.4207
Sn1 0.3333 0.6667 0.7401
C1 0.0000 0.0000 0.0000
C2 0.0000 0.0000 0.5000


# PaCdGa (PBE, optimized geometry)
# - calculated total energy (eV per atom) = -3.94
data_PaCdGa
_chemical_formula_sum 'Pa4 Cd4 Ga4'
_cell_length_a 6.912
_cell_length_b 6.912
_cell_length_c 6.912
_cell_angle_alpha 90.00
_cell_angle_beta 90.00
_cell_angle_gamma 90.00
_space_group_name_H-M_alt 'F -4 3 m'
_space_group_IT_number 216
_space_group_name_Hall 'F -4 2 3'
loop_
_atom_site_label
_atom_site_fract_x
_atom_site_fract_y
_atom_site_fract_z
Pa1 0.000 0.000 0.000
Cd1 0.250 0.250 0.750
Ga1 0.250 0.250 0.250


# ScAl6Cu (PBE, optimized geometry)
# - calculated total energy (eV per atom) = -4.20
data_ScAl6Cu
_chemical_formula_sum 'Sc1 Al6 Cu1'
_cell_length_a 5.7748
_cell_length_b 5.7748
_cell_length_c 4.5845
_cell_angle_alpha 90.00
_cell_angle_beta 90.00
_cell_angle_gamma 120.00
_space_group_name_H-M_alt 'P -6 m 2'
_space_group_IT_number 187
_space_group_name_Hall 'P -6 2'
loop_
_atom_site_label
_atom_site_fract_x
_atom_site_fract_y
_atom_site_fract_z
Sc1 0.0000 0.0000 0.0000
Al1 0.0073 0.5037 0.0000
Al2 0.3467 0.1734 0.5000
Cu1 0.3333 0.6667 0.5000


# Rb2ZnCdSb2 (PBE, optimized geometry)
# - calculated total energy (eV per atom) = -2.44
data_Rb2ZnCdSb2
_chemical_formula_sum 'Rb2 Zn1 Cd1 Sb2'
_cell_length_a 4.7457
_cell_length_b 4.7457
_cell_length_c 11.2653
_cell_angle_alpha 90.00
_cell_angle_beta 90.00
_cell_angle_gamma 120.00
_space_group_name_H-M_alt 'P -6 m 2'
_space_group_IT_number 187
_space_group_name_Hall 'P -6 2'
loop_
_atom_site_label
_atom_site_fract_x
_atom_site_fract_y
_atom_site_fract_z
Rb1 0.0000 0.0000 0.2498
Zn1 0.6667 0.3333 0.0000
Cd1 0.3333 0.6667 0.5000
Sb1 0.3333 0.6667 0.0000
Sb2 0.6667 0.3333 0.5000